DFT (GGA-PBE) results for an optimized crystal structure of Ac2BeOs2N6.

It has space group R-3m (No. 166, hexagonal axes), with a = 5.8924 Å, b = 5.8924 Å, c = 16.3089 Å, α = 90.00°, β = 90.00° and γ = 120.00°. The inequivalent atoms are Ac at (0.0000, 0.0000, 0.2151), Be at (0.0000, 0.0000, 0.0000), Os at (0.0000, 0.0000, 0.4069) and N at (0.0218, 0.5109, 0.7434).

The calculation puts the density of states at the Fermi level at 17.1 states/eV per cell. The raw total energy comes out at -7.837 eV/atom. The size of the total moment is 0.0 Bohr magnetons per cell. The volume is 14.9 Å³ per atom. For the formation energy without anion corrections, the calculation gives -0.1680 eV per atom.



DFT (GGA-PBE) results for an optimized crystal structure of AcLa2Pm3Se6.

It has space group C2/m (No. 12), with a = 7.397 Å, b = 12.855 Å, c = 7.423 Å, α = 90.00°, β = 109.52° and γ = 90.00°. The inequivalent atoms are Ac at (0.000, 0.000, 0.000), La at (0.000, 0.333, 0.000), Pm at (0.000, 0.165, 0.500), Pm at (0.000, 0.500, 0.500), Se at (0.243, 0.331, 0.738) and Se at (0.248, 0.500, 0.260).

The calculation puts the density of states at the Fermi level at 12.8 states/eV per cell. The raw total energy comes out at -5.990 eV/atom. The size of the total moment is 0.0 Bohr magnetons per cell. The volume is 27.7 Å³ per atom. For the formation energy without anion corrections, the calculation gives -1.8960 eV per atom.